VASP calculation (GGA-PBE) on a relaxed Ta3Be2Fe5 crystal.

As for the crystal system: tetragonal. Its total DFT energy (no corrections) is -8.7822 eV per atom. For the energy of formation, the calculation gives -0.25 eV/atom.

The space group is P4/mbm (No. 127) and the conventional cell measures 8.8228, 8.8228 and 3.0570 Å, with angles of 90.00, 90.00 and 90.00 degrees. Symmetry generates all atoms from Ta at (0.0000, 0.0000, 0.0000), Ta at (0.1745, 0.3255, 0.0000), Be at (0.1199, 0.6199, 0.0000), Fe at (0.0000, 0.5000, 0.5000) and Fe at (0.0698, 0.7845, 0.5000).

---

VASP calculation (GGA-PBE) on a relaxed Ta2Be2Fe5W crystal.

As for the crystal system: tetragonal. Its total DFT energy (no corrections) is -8.8514 eV per atom. For the energy of formation, the calculation gives -0.21 eV/atom.

The space group is P4/mbm (No. 127) and the conventional cell measures 8.8078, 8.8078 and 3.0227 Å, with angles of 90.00, 90.00 and 90.00 degrees. Symmetry generates all atoms from Ta at (0.1742, 0.3258, 0.0000), Be at (0.1199, 0.6199, 0.0000), Fe at (0.0000, 0.5000, 0.5000), Fe at (0.0692, 0.7873, 0.5000) and W at (0.0000, 0.0000, 0.0000).

---

VASP calculation (GGA-PBE) on a relaxed ZrTa2BeFe crystal.

As for the crystal system: tetragonal. Its total DFT energy (no corrections) is -6.7672 eV per atom. For the energy of formation, the calculation gives 2.12 eV/atom.

The space group is P4/mmm (No. 123) and the conventional cell measures 4.9375, 4.9375 and 4.3972 Å, with angles of 90.00, 90.00 and 90.00 degrees. Symmetry generates all atoms from Zr at (0.0000, 0.0000, 0.0000), Ta at (0.0000, 0.5000, 0.0000), Be at (0.5000, 0.5000, 0.5000) and Fe at (0.0000, 0.0000, 0.5000).

---

VASP calculation (GGA-PBE) on a relaxed BeFe2Tc crystal.

As for the crystal system: monoclinic. Its total DFT energy (no corrections) is -7.6945 eV per atom. For the energy of formation, the calculation gives 0.06 eV/atom.

The space group is Pm (No. 6) and the conventional cell measures 2.4918, 3.9314 and 4.8375 Å, with angles of 90.00, 100.78 and 90.00 degrees. Symmetry generates all atoms from Be at (0.0000, 0.0000, 0.0000), Fe at (0.5890, 0.0000, 0.4746), Fe at (0.8071, 0.5000, 0.2293) and Tc at (0.3158, 0.5000, 0.7433).

---

VASP calculation (GGA-PBE) on a relaxed BeFe2Tc2 crystal.

As for the crystal system: tetragonal. Its total DFT energy (no corrections) is -7.9743 eV per atom. For the energy of formation, the calculation gives 0.30 eV/atom.

The space group is P4/mbm (No. 127) and the conventional cell measures 6.9318, 6.9318 and 2.6525 Å, with angles of 90.00, 90.00 and 90.00 degrees. Symmetry generates all atoms from Be at (0.0000, 0.0000, 0.0000), Fe at (0.1225, 0.3775, 0.0000) and Tc at (0.1719, 0.6719, 0.5000).

---

VASP calculation (GGA-PBE) on a relaxed BeFe2Tc crystal.

As for the crystal system: monoclinic. Its total DFT energy (no corrections) is -7.6779 eV per atom. For the energy of formation, the calculation gives 0.08 eV/atom.

The space group is C2/m (No. 12) and the conventional cell measures 4.8544, 8.2433 and 2.4877 Å, with angles of 90.00, 108.76 and 90.00 degrees. Symmetry generates all atoms from Be at (0.0000, 0.0000, 0.0000), Fe at (0.2500, 0.2500, 0.5000) and Tc at (0.0000, 0.5000, 0.0000).

---

VASP calculation (GGA-PBE) on a relaxed Be2FeTc crystal.

As for the crystal system: tetragonal. Its total DFT energy (no corrections) is -6.2909 eV per atom. For the energy of formation, the calculation gives 0.28 eV/atom.

The space group is I-42d (No. 122) and the conventional cell measures 5.9711, 5.9711 and 4.8957 Å, with angles of 90.00, 90.00 and 90.00 degrees. Symmetry generates all atoms from Be at (0.2344, 0.2500, 0.1250), Fe at (0.0000, 0.0000, 0.0000) and Tc at (0.0000, 0.0000, 0.5000).

---

VASP calculation (GGA-PBE) on a relaxed BeFe2Tc crystal.

As for the crystal system: orthorhombic. Its total DFT energy (no corrections) is -7.7270 eV per atom. For the energy of formation, the calculation gives 0.03 eV/atom.

The space group is Imm2 (No. 44) and the conventional cell measures 3.0922, 3.8698 and 7.5627 Å, with angles of 90.00, 90.00 and 90.00 degrees. Symmetry generates all atoms from Be at (0.0000, 0.0000, 0.0000), Fe at (0.0000, 0.0000, 0.5127), Fe at (0.0000, 0.5000, 0.2703) and Tc at (0.0000, 0.5000, 0.7543).

---

VASP calculation (GGA-PBE) on a relaxed BeFe2Tc crystal.

As for the crystal system: tetragonal. Its total DFT energy (no corrections) is -7.7728 eV per atom. For the energy of formation, the calculation gives -0.02 eV/atom.

The space group is P4mm (No. 99) and the conventional cell measures 2.8441, 2.8441 and 5.5102 Å, with angles of 90.00, 90.00 and 90.00 degrees. Symmetry generates all atoms from Be at (0.0000, 0.0000, 0.0000), Fe at (0.0000, 0.0000, 0.4519), Fe at (0.5000, 0.5000, 0.2067) and Tc at (0.5000, 0.5000, 0.7359).

---

VASP calculation (GGA-PBE) on a relaxed BeFe2Tc crystal.

As for the crystal system: monoclinic. Its total DFT energy (no corrections) is -7.7685 eV per atom. For the energy of formation, the calculation gives -0.01 eV/atom.

The space group is C2/m (No. 12) and the conventional cell measures 8.6795, 2.9616 and 3.8356 Å, with angles of 90.00, 116.10 and 90.00 degrees. Symmetry generates all atoms from Be at (0.0000, 0.0000, 0.0000), Fe at (0.2417, 0.5000, 0.2413) and Tc at (0.0000, 0.5000, 0.5000).

---

VASP calculation (GGA-PBE) on a relaxed Be2Fe4Tc crystal.

As for the crystal system: tetragonal. Its total DFT energy (no corrections) is -6.0929 eV per atom. For the energy of formation, the calculation gives 1.29 eV/atom.

The space group is I4/mmm (No. 139) and the conventional cell measures 4.2966, 4.2966 and 11.4755 Å, with angles of 90.00, 90.00 and 90.00 degrees. Symmetry generates all atoms from Be at (0.0000, 0.0000, 0.0913), Fe at (0.0000, 0.0000, 0.2879), Fe at (0.0000, 0.5000, 0.0000) and Tc at (0.0000, 0.0000, 0.5000).

---

VASP calculation (GGA-PBE) on a relaxed BeFe3Tc crystal.

As for the crystal system: cubic. Its total DFT energy (no corrections) is -6.1817 eV per atom. For the energy of formation, the calculation gives 1.71 eV/atom.

The space group is Pm-3m (No. 221) and the conventional cell measures 4.4149, 4.4149 and 4.4149 Å, with angles of 90.00, 90.00 and 90.00 degrees. Symmetry generates all atoms from Be at (0.0000, 0.0000, 0.0000), Fe at (0.0000, 0.5000, 0.5000) and Tc at (0.5000, 0.5000, 0.5000).